Entry 1:
PBE FeSi23, relaxed; space-group type = Pm-3n; raw total energy = -5.364 eV per atom; ΔE_f (raw) = 185.3 meV/atom
1.0
-3.940 -9.388 0.667
6.064 -3.085 -7.604
7.198 -2.540 6.771
Fe Si
2 46
direct
0.000 0.000 0.000
0.500 0.500 0.500
0.192 0.500 0.383
0.500 0.617 0.808
0.318 0.318 0.682
0.818 0.818 0.182
0.500 0.383 0.808
0.383 0.192 0.500
0.000 0.308 0.883
0.500 0.750 0.000
0.808 0.500 0.617
0.682 0.682 0.682
0.692 0.117 0.000
0.383 0.808 0.500
0.682 0.318 0.682
0.500 0.617 0.192
0.192 0.500 0.617
0.182 0.818 0.182
0.250 0.000 0.500
0.818 0.182 0.818
0.000 0.500 0.250
0.318 0.318 0.318
0.818 0.182 0.182
0.818 0.818 0.818
0.182 0.182 0.182
0.117 0.000 0.308
0.000 0.308 0.117
0.682 0.318 0.318
0.182 0.182 0.818
0.883 0.000 0.692
0.617 0.192 0.500
0.000 0.692 0.883
0.750 0.000 0.500
0.182 0.818 0.818
0.500 0.250 0.000
0.000 0.692 0.117
0.318 0.682 0.682
0.808 0.500 0.383
0.308 0.883 0.000
0.318 0.682 0.318
0.500 0.383 0.192
0.883 0.000 0.308
0.692 0.883 0.000
0.682 0.682 0.318
0.000 0.500 0.750
0.308 0.117 0.000
0.117 0.000 0.692
0.617 0.808 0.500


Entry 2:
PBE Fe4Si, relaxed; space-group type = I4/mmm; raw total energy = -7.509 eV per atom; ΔE_f (raw) = 345.8 meV/atom; energy relative to the lowest polymorph listed for this composition = 508 meV per atom
1.0
-1.566 1.566 6.064
1.566 -1.566 6.064
1.566 1.566 -6.064
Fe Si
4 1
direct
0.405 0.405 0.000
0.250 0.750 0.500
0.595 0.595 0.000
0.750 0.250 0.500
0.000 0.000 0.000


Entry 3:
PBE FeSi3, relaxed; space-group type = Fm-3m; raw total energy = -5.914 eV per atom; ΔE_f (raw) = 268.5 meV/atom
1.0
4.127 0.000 0.000
2.063 3.574 0.000
2.063 1.191 3.370
Si Fe
3 1
direct
0.250 0.250 0.250
0.500 0.500 0.500
0.750 0.750 0.750
0.000 0.000 0.000


Entry 4:
PBE Fe6Si7, relaxed; space-group type = R-3m; raw total energy = -6.737 eV per atom; ΔE_f (raw) = 89.1 meV/atom
1.0
8.456 -0.003 -0.002
7.116 4.568 -0.002
7.116 2.086 4.064
Si Fe
7 6
direct
0.500 0.500 0.500
0.583 0.077 0.583
0.417 0.923 0.417
0.923 0.417 0.417
0.077 0.583 0.583
0.417 0.417 0.923
0.583 0.583 0.077
0.827 0.827 0.827
0.173 0.173 0.173
0.051 0.051 0.051
0.665 0.665 0.665
0.335 0.335 0.335
0.949 0.949 0.949


Entry 5:
PBE FeSi3, relaxed; space-group type = Pmmm; raw total energy = -6.005 eV per atom; ΔE_f (raw) = 177.5 meV/atom
1.0
-2.351 1.392 0.072
-1.288 -2.292 2.271
1.790 2.823 3.865
Fe Si
1 3
direct
0.000 0.000 0.000
0.500 0.500 0.236
0.500 0.500 0.764
0.000 0.000 0.500


Entry 6:
PBE Fe4Si5, relaxed; space-group type = I4/mmm; raw total energy = -6.780 eV per atom; ΔE_f (raw) = -5.9 meV/atom; energy relative to the lowest polymorph listed for this composition = 155 meV per atom
1.0
2.561 -4.227 2.574
-1.008 5.442 0.649
-5.210 -1.734 0.949
Fe Si
4 5
direct
0.698 0.000 0.698
0.302 0.000 0.302
0.000 0.302 0.302
0.000 0.698 0.698
0.673 0.673 0.347
0.327 0.327 0.653
0.327 0.673 0.000
0.673 0.327 0.000
0.000 0.000 0.000